{"formula": "LiMgTa", "functional": "GGA-PBE", "state": "optimized geometry", "total_magnetization_mub_per_cell": 0.00, "relative_energy_mev_per_atom": 809, "cell": [[4.1398, -2.3901, 0.0000], [0.0000, 4.7803, 0.0000], [0.0000, 0.0000, 5.5762]], "species": ["Ta", "Ta", "Mg", "Mg", "Li", "Li"], "frac_coords": [[0.3333, 0.6667, 0.2500], [0.6667, 0.3333, 0.7500], [0.3333, 0.6667, 0.7500], [0.6667, 0.3333, 0.2500], [0.0000, 0.0000, 0.5000], [0.0000, 0.0000, 0.0000]]}

---

{"formula": "Pm12Sm5Er2", "functional": "GGA-PBE", "state": "optimized geometry", "total_magnetization_mub_per_cell": 0.00, "relative_energy_mev_per_atom": 56, "cell": [[-4.6133, 4.2234, 3.5448], [-4.1757, -8.7831, -2.2602], [0.4539, -6.4401, 8.2637]], "species": ["Pm", "Pm", "Pm", "Pm", "Pm", "Pm", "Pm", "Pm", "Pm", "Pm", "Pm", "Pm", "Sm", "Sm", "Sm", "Sm", "Sm", "Er", "Er"], "frac_coords": [[0.5018, 0.0036, 0.6798], [0.0874, 0.6792, 0.8677], [0.0228, 0.0457, 0.7582], [0.4982, 0.9964, 0.3202], [0.0850, 0.6681, 0.5208], [0.5918, 0.6792, 0.8677], [0.9150, 0.3319, 0.4792], [0.9126, 0.3208, 0.1323], [0.5831, 0.6681, 0.5208], [0.4082, 0.3208, 0.1323], [0.9772, 0.9543, 0.2418], [0.4169, 0.3319, 0.4792], [0.3252, 0.6505, 0.2076], [0.1848, 0.3696, 0.8153], [0.6748, 0.3495, 0.7924], [0.8152, 0.6304, 0.1847], [0.0000, 0.0000, 0.5000], [0.7215, 0.0000, 0.0000], [0.2785, 0.0000, 0.0000]]}

---

{"formula": "Hf2GaW", "functional": "GGA-PBE", "state": "optimized geometry", "total_magnetization_mub_per_cell": 0.00, "final_energy_ev_per_atom": -9.2350, "cell": [[3.4215, 0.0000, 0.0000], [0.0000, 3.4215, 0.0000], [0.0000, 0.0000, 6.3568]], "species": ["Hf", "Hf", "Ga", "W"], "frac_coords": [[0.0000, 0.0000, 0.2432], [0.0000, 0.0000, 0.7568], [0.5000, 0.5000, 0.5000], [0.5000, 0.5000, 0.0000]]}

---

{"formula": "NbCu2Ge", "functional": "GGA-PBE", "state": "optimized geometry", "total_magnetization_mub_per_cell": 0.00, "final_energy_ev_per_atom": -5.8544, "cell": [[4.0531, 0.0000, 0.0000], [0.0000, 3.7767, 0.0000], [0.0000, 0.0000, 3.7767]], "species": ["Ge", "Cu", "Cu", "Nb"], "frac_coords": [[0.5000, 0.5000, 0.5000], [0.0000, 0.0000, 0.5000], [0.0000, 0.5000, 0.0000], [0.5000, 0.0000, 0.0000]]}

---

{"formula": "CrIrOs2", "functional": "GGA-PBE", "state": "optimized geometry", "total_magnetization_mub_per_cell": 0.68, "relative_energy_mev_per_atom": 9, "cell": [[4.6629, -0.0053, -0.0025], [1.5475, 4.3986, 0.0025], [-3.1042, -2.1981, 2.6972]], "species": ["Os", "Os", "Ir", "Cr"], "frac_coords": [[0.7501, 0.2501, 0.5000], [0.0000, 0.0000, 0.0000], [0.2500, 0.7500, 0.5000], [0.5000, 0.5000, 0.0000]]}

---

{"formula": "Mg3Ga3Sn", "functional": "GGA-PBE", "state": "optimized geometry", "total_magnetization_mub_per_cell": 0.00, "relative_energy_mev_per_atom": 0, "cell": [[-3.1817, -0.1513, 3.8606], [6.3340, -0.3855, 5.2050], [-3.0457, 7.2894, -2.2244]], "species": ["Ga", "Ga", "Ga", "Ga", "Ga", "Ga", "Mg", "Mg", "Mg", "Mg", "Mg", "Mg", "Sn", "Sn"], "frac_coords": [[0.2500, 0.2203, 0.0375], [0.2500, 0.9625, 0.1828], [0.7500, 0.7797, 0.9625], [0.7500, 0.0375, 0.8172], [0.7500, 0.1828, 0.2203], [0.2500, 0.8172, 0.7797], [0.7500, 0.9114, 0.3623], [0.2500, 0.5491, 0.9114], [0.2500, 0.3623, 0.4509], [0.7500, 0.6377, 0.5491], [0.2500, 0.0886, 0.6377], [0.7500, 0.4509, 0.0886], [0.2500, 0.6667, 0.3333], [0.7500, 0.3333, 0.6667]]}

---

{"formula": "Zn2InCuSb", "functional": "GGA-PBE", "state": "optimized geometry", "total_magnetization_mub_per_cell": 0.00, "formation_energy_uncorrected_ev_per_atom": 0.806, "relative_energy_mev_per_atom": 0, "cell": [[5.3204, 0.0000, 0.0000], [0.0000, 5.6993, 0.0000], [0.0000, 0.0000, 5.3204]], "species": ["Sb", "Cu", "In", "Zn", "Zn"], "frac_coords": [[0.0000, 0.0000, 0.0000], [0.5000, 0.5000, 0.5000], [0.0000, 0.5000, 0.0000], [0.5000, 0.0000, 0.0000], [0.0000, 0.0000, 0.5000]]}

---

{"formula": "CeErPu2", "functional": "GGA-PBE", "state": "optimized geometry", "total_magnetization_mub_per_cell": 13.96, "relative_energy_mev_per_atom": 69, "cell": [[5.4154, 0.0000, 0.0000], [2.7077, 4.6899, 0.0000], [2.7077, 1.5633, 4.4217]], "species": ["Er", "Pu", "Pu", "Ce"], "frac_coords": [[0.0000, 0.0000, 0.0000], [0.7500, 0.7500, 0.7500], [0.2500, 0.2500, 0.2500], [0.5000, 0.5000, 0.5000]]}